## AlTlAu (PBE)

Data for a relaxed structure of AlTlAu.

Unit cell a=4.259 b=4.259 c=7.422 alpha=90.00 beta=90.00 gamma=90.00
Sites, in units of the cell vectors:
Al: 0.250 0.750 0.000
Al: 0.750 0.250 0.000
Tl: 0.250 0.250 0.375
Tl: 0.750 0.750 0.625
Au: 0.250 0.250 0.801
Au: 0.750 0.750 0.199

Formation enthalpy at 0 K = -0.20 eV/atom
Energy above the lowest structure with this stoichiometry = 0 kJ/mol of formula units
N(E_F) = 2.55 states/eV/cell